Crystalline RbLiHfBr6 at its relaxed geometry. Source: Alexandria via LeMat-Bulk, functional PBE-GGA.

Cell: 7.0485 7.0485 15.3662 Å, 90.00 90.00 120.00°
Space group P-31c (No. 163)
Asymmetric unit:
Rb1 0.0000 0.0000 0.0000
Li1 0.3333 0.6667 0.2500
Hf1 0.3333 0.6667 0.7500
Br1 0.0150 0.3795 0.6508

Summary:
Energy ... -73.39 eV/cell
E_form (uncorrected) ... -1.5361 eV per atom
ρ ... 3.77 g cm⁻³
Density of states at the Fermi level ... 0.0 states/eV per cell